## SrSn2Hg4 (PBE-GGA)

Data for a relaxed structure of SrSn2Hg4.

ΔE_f ... -170 meV per atom
Energy above the most stable polymorph in this dataset ... 50 meV/atom

```
7
Lattice="-3.107 3.356 1.276 -0.174 -2.190 5.337 5.711 5.539 -0.662" Properties=species:S:1:pos:R:3 pbc="T T T"
Hg 0.239 3.094 1.277
Hg 2.309 0.798 3.523
Hg 3.228 2.551 1.152
Hg 2.191 3.610 4.673
Sn 2.965 5.248 2.250
Sn -0.535 1.457 3.701
Sr 0.000 0.000 0.000
```

***

## In2PdI (PBE-GGA)

Data for a relaxed structure of In2PdI.

Raw formation energy ... 0.81 eV per formula unit
Energy above the most stable polymorph in this dataset ... 339 meV/atom

```
4
Lattice="0.000 3.823 3.823 3.823 0.000 3.823 3.823 3.823 0.000" Properties=species:S:1:pos:R:3 pbc="T T T"
I 3.823 3.823 3.823
In 5.734 5.734 5.734
In 1.911 1.911 1.911
Pd 0.000 0.000 0.000
```

***

## Li4Pu3CuS8 (PBE-GGA)

Data for a relaxed structure of Li4Pu3CuS8.

Raw formation energy ... -20.71 eV per formula unit

```
16
Lattice="-2.805 0.332 7.146 -6.723 -2.281 -2.533 6.345 -4.109 -1.449" Properties=species:S:1:pos:R:3 pbc="T T T"
S -3.994 -3.541 2.728
S -3.836 -0.339 4.751
S 0.653 -5.719 -1.587
S 0.811 -2.517 0.435
S -2.404 -0.509 1.102
S -2.576 -3.649 -0.841
S -0.779 -5.550 2.062
S -0.607 -2.410 4.005
Pu -0.189 -3.195 -1.991
Pu -4.764 -0.974 2.307
Pu -1.592 -3.029 1.582
Cu -3.362 -1.141 -1.267
Li 3.173 -2.055 -0.725
Li -1.403 0.166 3.573
Li 0.000 0.000 0.000
Li 1.770 -1.889 2.848
```

***

no.,volume (Å³/cell)
1,204
2,112
3,312